1.
Compound: LiLa2MnBr
Source: Alexandria via LeMat-Bulk
Functional: PBE-GGA
Structure: relaxed

The space group is P4/mmm (No. 123) and the conventional cell measures 5.177, 5.177 and 5.245 Å, with angles of 90.00, 90.00 and 90.00 degrees. The inequivalent atoms are Li at (0.000, 0.000, 0.000), La at (0.000, 0.500, 0.500), Mn at (0.500, 0.500, 0.500) and Br at (0.500, 0.500, 0.000).

The energy relative to the elements, uncorrected comes out at 107 meV/atom.



2.
Compound: Dy12Ho5Hg2
Source: Alexandria via LeMat-Bulk
Functional: PBE-GGA
Structure: relaxed

The space group is C2/m (No. 12) and the conventional cell measures 15.517, 9.196 and 8.268 Å, with angles of 90.00, 93.71 and 90.00 degrees. The inequivalent atoms are Dy at (0.050, 0.000, 0.268), Dy at (0.096, 0.500, 0.890), Dy at (0.115, 0.192, 0.626), Dy at (0.163, 0.315, 0.240), Ho at (0.000, 0.500, 0.500), Ho at (0.181, 0.000, 0.977), Ho at (0.239, 0.500, 0.594) and Hg at (0.000, 0.222, 0.000).

The energy of formation from the pure elements is 0.011 eV per atom.



3.
Compound: GeSbTe2Rh
Source: Alexandria via LeMat-Bulk
Functional: PBE-GGA
Structure: relaxed

The space group is P4/mmm (No. 123) and the conventional cell measures 5.272, 5.272 and 5.253 Å, with angles of 90.00, 90.00 and 90.00 degrees. The inequivalent atoms are Ge at (0.000, 0.000, 0.000), Sb at (0.000, 0.000, 0.500), Te at (0.000, 0.500, 0.000) and Rh at (0.500, 0.500, 0.500).

The energy relative to the elements, uncorrected comes out at 1021 meV/atom. The energy above the lowest structure with this stoichiometry comes out at 0.611 eV per atom.



4.
Compound: Nd4SbRu2
Source: Alexandria via LeMat-Bulk
Functional: PBE-GGA
Structure: relaxed

The space group is Cc (No. 9) and the conventional cell measures 9.503, 13.655 and 6.485 Å, with angles of 90.00, 116.80 and 90.00 degrees. The inequivalent atoms are Nd at (0.000, 0.062, 0.000), Nd at (0.070, 0.415, 0.366), Nd at (0.170, 0.165, 0.614), Nd at (0.385, 0.177, 0.272), Sb at (0.268, 0.375, 0.939), Ru at (0.297, 0.004, 0.950) and Ru at (0.418, 0.292, 0.693).

The energy relative to the elements, uncorrected comes out at -420 meV/atom.



5.
Compound: Pm2ErGa3Rh4
Source: Alexandria via LeMat-Bulk
Functional: PBE-GGA
Structure: relaxed

The space group is P-4m2 (No. 115) and the conventional cell measures 4.272, 4.272 and 10.882 Å, with angles of 90.00, 90.00 and 90.00 degrees. The inequivalent atoms are Pm at (0.000, 0.500, 0.222), Er at (0.000, 0.000, 0.500), Ga at (0.000, 0.500, 0.882), Ga at (0.500, 0.500, 0.500), Rh at (0.000, 0.000, 0.000), Rh at (0.000, 0.500, 0.652) and Rh at (0.500, 0.500, 0.000).

The energy of formation from the pure elements is -0.798 eV per atom.



6.
Compound: LiHoErFe
Source: Alexandria via LeMat-Bulk
Functional: PBE-GGA
Structure: relaxed

The space group is F-43m (No. 216) and the conventional cell measures 6.800, 6.800 and 6.800 Å, with angles of 90.00, 90.00 and 90.00 degrees. The inequivalent atoms are Li at (0.000, 0.000, 0.000), Ho at (0.250, 0.250, 0.250), Er at (0.250, 0.250, 0.750) and Fe at (0.000, 0.000, 0.500).

The energy of formation from the pure elements is 0.066 eV per atom.



7.
Compound: BeAsIr2
Source: Alexandria via LeMat-Bulk
Functional: PBE-GGA
Structure: relaxed

The space group is F-43m (No. 216) and the conventional cell measures 6.111, 6.111 and 6.111 Å, with angles of 90.00, 90.00 and 90.00 degrees. The inequivalent atoms are Be at (0.000, 0.000, 0.000), As at (0.250, 0.250, 0.250), Ir at (0.000, 0.000, 0.500) and Ir at (0.250, 0.250, 0.750).

The energy above the lowest structure with this stoichiometry comes out at 0.514 eV per atom. The energy of formation from the pure elements is 0.350 eV per atom.



8.
Compound: Na2Ta2NbSe6
Source: Alexandria via LeMat-Bulk
Functional: PBE-GGA
Structure: relaxed

The space group is C2/m (No. 12) and the conventional cell measures 6.144, 10.980 and 7.752 Å, with angles of 90.00, 102.95 and 90.00 degrees. The inequivalent atoms are Na at (0.000, 0.175, 0.000), Ta at (0.000, 0.368, 0.500), Nb at (0.000, 0.000, 0.500), Se at (0.224, 0.174, 0.702) and Se at (0.242, 0.500, 0.740).

The energy relative to the elements, uncorrected comes out at -887 meV/atom.



9.
Compound: Mg2PdPtCl
Source: Alexandria via LeMat-Bulk
Functional: PBE-GGA
Structure: relaxed

The space group is P4/mmm (No. 123) and the conventional cell measures 5.086, 5.086 and 4.798 Å, with angles of 90.00, 90.00 and 90.00 degrees. The inequivalent atoms are Mg at (0.000, 0.500, 0.000), Pd at (0.000, 0.000, 0.000), Pt at (0.000, 0.000, 0.500) and Cl at (0.500, 0.500, 0.500).

The energy relative to the elements, uncorrected comes out at 62 meV/atom.



10.
Compound: InMoS
Source: Alexandria via LeMat-Bulk
Functional: PBE-GGA
Structure: relaxed

The space group is Pca2_1 (No. 29) and the conventional cell measures 5.356, 11.017 and 5.368 Å, with angles of 90.00, 90.00 and 90.00 degrees. The inequivalent atoms are In at (0.100, 0.073, 0.000), Mo at (0.250, 0.500, 0.258) and S at (0.001, 0.357, 0.008).

The energy relative to the elements, uncorrected comes out at -114 meV/atom.



no.,total magnetic moment (μB/atom),density of states at the Fermi level (states/eV per cell),raw total energy (Ry/atom)
1,0.17,5.0,-0.3245
2,0.00,56.8,-0.3037
3,0.17,4.7,-0.2538
4,0.00,18.2,-0.4692
5,0.00,6.3,-0.4449
6,0.00,11.0,-0.3538
7,0.00,18.5,-0.4538
8,0.00,7.7,-0.4482
9,0.06,3.4,-0.2346
10,0.05,9.7,-0.4419